Entry 1:
Material: SmEuTe
Method: DFT, PBE
State: optimized geometry

Unit cell a=5.320 b=5.320 c=4.249 alpha=90.00 beta=90.00 gamma=120.00
Element x y z (fractional)
1 Sm 0.000 0.000 0.000
2 Eu 0.667 0.333 0.500
3 Te 0.333 0.667 0.998

ΔE_f (raw): -14.094 kcal/mol of atoms
ΔE to the lowest computed polymorph: 215.3 meV per atom
mass density: 6.86 Mg/m³

Entry 2:
Material: SmEuTe
Method: DFT, PBE
State: optimized geometry

Unit cell a=6.968 b=6.968 c=6.968 alpha=146.89 beta=146.89 gamma=47.52
Element x y z (fractional)
1 Sm 0.000 0.000 0.000
2 Eu 0.708 0.708 0.000
3 Te 0.374 0.374 0.000

ΔE_f (raw): -19.059 kcal/mol of atoms
ΔE to the lowest computed polymorph: 0.0 meV per atom
mass density: 7.10 Mg/m³

Entry 3:
Material: Sm2EuTe
Method: DFT, PBE
State: optimized geometry

Unit cell a=11.250 b=11.250 c=11.250 alpha=20.54 beta=20.54 gamma=20.54
Element x y z (fractional)
1 Sm 0.106 0.106 0.106
2 Sm 0.894 0.894 0.894
3 Eu 0.000 0.000 0.000
4 Te 0.500 0.500 0.500

ΔE_f (raw): -8.454 kcal/mol of atoms
mass density: 6.28 Mg/m³

Entry 4:
Material: SmEu2Th
Method: DFT, PBE
State: optimized geometry

Unit cell a=13.304 b=13.304 c=13.304 alpha=15.35 beta=15.35 gamma=15.35
Element x y z (fractional)
1 Sm 0.000 0.000 0.000
2 Eu 0.412 0.412 0.412
3 Eu 0.588 0.588 0.588
4 Th 0.500 0.500 0.500

energy of formation from the pure elements: 263 meV per atom
mass density: 7.93 Mg/m³

What density of states at the Fermi level values result from the calculations? In sequence: 4.53 5.99 4.46 6.38 states/eV/f.u..